Record 1
CrFeIr2 | meta-GGA SCAN | single point on PBEsol structure

abc: 2.643 2.643 7.245
angles: 90.00 90.00 90.00
Positions (direct):
Cr  0.000  0.000  0.000
Fe  0.000  0.000  0.500
Ir  0.500  0.500  0.246
Ir  0.500  0.500  0.754

***

Record 2
CrFeIr2 | meta-GGA SCAN | single point on PBEsol structure

abc: 5.268 7.208 2.642
angles: 90.00 90.00 90.00
Positions (direct):
Cr  0.000  0.000  0.000
Cr  0.500  0.500  0.000
Fe  0.000  0.500  0.000
Fe  0.500  0.000  0.000
Ir  0.250  0.250  0.500
Ir  0.250  0.750  0.500
Ir  0.750  0.250  0.500
Ir  0.750  0.750  0.500

***

Calculated formation energy values, unit eV per atom, following the record order: -0.231; -0.234.
Total energy values, unit eV/atom, following the record order: -44.909; -44.912.
Spin magnetization values, unit μB/f.u., following the record order: 3.07; 0.54.